MnCrHO2, relaxed, DFT PBE+U; calculated volume = 12.1 A^3/atom; space group = R3m, No. 160; E_tot = -0.2448 Ha/atom; spin magnetization = 8.0 μB per formula unit
1.0
1.561 0.901 7.172
-1.561 0.901 7.172
0.000 -1.803 7.172
Mn Cr H O
1 1 1 2
Direct
0.000 0.000 0.000
0.545 0.545 0.545
0.763 0.763 0.763
0.716 0.716 0.716
0.840 0.840 0.840